Run i
Li4HoPd2: relaxed, GGA-PBE.

Structure (POSCAR):
```
Li4HoPd2
1.0
4.1174 0.0000 0.0000
0.0000 7.6621 0.0000
0.0000 0.0000 7.6621
Li Ho Pd
8 2 4
Direct
0.0000 0.0989 0.3468
0.0000 0.9011 0.6532
0.5000 0.1532 0.5989
0.5000 0.8468 0.4011
0.5000 0.4011 0.8468
0.5000 0.5989 0.1532
0.0000 0.3468 0.0989
0.0000 0.6532 0.9011
0.5000 0.0000 0.0000
0.0000 0.5000 0.5000
0.0000 0.2029 0.7971
0.0000 0.7971 0.2029
0.5000 0.7029 0.7029
0.5000 0.2971 0.2971
```

---

Run ii
Li4HoPd2: relaxed, GGA-PBE.

Structure (POSCAR):
```
Li4HoPd2
1.0
3.8429 0.0000 0.0000
0.0000 3.6996 -0.8152
0.0000 0.0285 8.9321
Li Ho Pd
4 1 2
Direct
0.5000 0.8177 0.6354
0.0000 0.6759 0.3517
0.5000 0.1823 0.3646
0.0000 0.3241 0.6483
0.0000 0.0000 0.0000
0.5000 0.5775 0.1550
0.5000 0.4225 0.8450
```

---

The least stable of them is run ii.